[1]
## TaSiIr2 (PBE-GGA)

Data for an optimized crystal structure of TaSiIr2.

Its crystal system is monoclinic. The raw formation energy comes out at -0.398 eV/atom.

It has space group Cm (No. 8), with a = 9.055 Å, b = 2.850 Å, c = 4.808 Å, α = 90.00°, β = 99.88° and γ = 90.00°. Symmetry generates all atoms from Ta at (0.000, 0.000, 0.000), Si at (0.260, 0.500, 0.367), Ir at (0.249, 0.000, 0.806) and Ir at (0.492, 0.000, 0.482).



[2]
## KVSn2I8 (PBE-GGA)

Data for an optimized crystal structure of KVSn2I8.

Its crystal system is triclinic. The raw formation energy comes out at -0.573 eV/atom.

It has space group P-1 (No. 2), with a = 7.079 Å, b = 7.552 Å, c = 9.417 Å, α = 89.96°, β = 89.86° and γ = 88.01°. Symmetry generates all atoms from K at (0.000, 0.000, 0.000), V at (0.000, 0.000, 0.500), Sn at (0.499, 0.500, 0.259), I at (0.213, 0.311, 0.500), I at (0.240, 0.855, 0.707), I at (0.241, 0.857, 0.292) and I at (0.271, 0.366, 0.001).



[3]
## Pm3CuOs (PBE-GGA)

Data for an optimized crystal structure of Pm3CuOs.

Its crystal system is monoclinic. For the formation enthalpy at 0 K, the calculation gives -0.09 eV/atom.

It has space group P2_1/c (No. 14), with a = 7.200 Å, b = 7.362 Å, c = 10.293 Å, α = 90.00°, β = 110.93° and γ = 90.00°. Symmetry generates all atoms from Pm at (0.170, 0.097, 0.145), Pm at (0.234, 0.567, 0.988), Pm at (0.303, 0.055, 0.854), Cu at (0.435, 0.708, 0.788) and Os at (0.037, 0.731, 0.164).



[4]
## SrAuN2 (PBE-GGA)

Data for an optimized crystal structure of SrAuN2.

Its crystal system is trigonal. As for the polymorph energy (0 for the lowest one): 0 meV per atom. The raw formation energy comes out at 0.501 eV/atom.

It has space group R-3m (No. 166, hexagonal axes), with a = 4.1404 Å, b = 4.1404 Å, c = 17.7812 Å, α = 90.00°, β = 90.00° and γ = 120.00°. Symmetry generates all atoms from Sr at (0.0000, 0.0000, 0.0000), Au at (0.0000, 0.0000, 0.5000) and N at (0.0000, 0.0000, 0.3951).



Theoretical density / Mg/m³: 16.1, 4.4, 9.0, 5.9
Electronic total energy / eV per atom: -9.15, -3.12, -6.00, -4.90
M_tot / μB/cell: 0.000, 1.995, 0.000, 2.960